Entry 1:
La4GeN5 | PBE | relaxed

Calculated values
- mass density (g/cm³) = 6.44
- N(E_F) (states/eV per atom) = 0.528
- E (eV per cell) = -150.6
- calculated volume (Å³ per atom) = 18.0

Unit cell a=8.2522 b=8.2522 c=5.2901 alpha=90.00 beta=90.00 gamma=90.00
Space group I4 (No. 79)
Inequivalent atoms, fractional coordinates:
La (0.1039, 0.7002, 0.0000)
Ge (0.0000, 0.0000, 0.5469)
N (0.0000, 0.0000, 0.8925)
N (0.1108, 0.6760, 0.4952)


Entry 2:
Hg4AuI2Cl | PBE | relaxed

Calculated values
- mass density (g/cm³) = 7.42
- N(E_F) (states/eV per atom) = 0.006
- E (eV per cell) = -21.1
- calculated volume (Å³ per atom) = 36.0

Unit cell a=8.5893 b=10.5182 c=6.3822 alpha=90.00 beta=90.00 gamma=90.00
Space group Pmn2_1 (No. 31)
Inequivalent atoms, fractional coordinates:
Hg (0.0000, 0.0327, 0.0000)
Hg (0.0000, 0.8902, 0.6308)
Hg (0.2043, 0.5673, 0.8707)
Au (0.0000, 0.7673, 0.0186)
I (0.2420, 0.7790, 0.3589)
Cl (0.0000, 0.1097, 0.3774)


Entry 3:
Hg2MoPb | PBE | relaxed

Calculated values
- energy of formation (kJ/mol of formula units) = 196
- mass density (g/cm³) = 11.47
- N(E_F) (states/eV per atom) = 0.707
- E (eV per cell) = -26.2
- calculated volume (Å³ per atom) = 25.5

Unit cell a=2.9646 b=4.9433 c=13.9160 alpha=90.00 beta=90.00 gamma=90.00
Space group Imm2 (No. 44)
Inequivalent atoms, fractional coordinates:
Hg (0.0000, 0.0000, 0.0000)
Hg (0.0000, 0.5000, 0.1785)
Mo (0.0000, 0.0000, 0.5002)
Pb (0.0000, 0.5000, 0.8147)


Entry 4:
Pa4RePSe2 | PBE | relaxed

Calculated values
- mass density (g/cm³) = 11.45
- N(E_F) (states/eV per atom) = 1.395
- E (eV per cell) = -70.2
- calculated volume (Å³ per atom) = 23.6

Unit cell a=7.0321 b=3.9521 c=7.1317 alpha=90.00 beta=108.08 gamma=90.00
Space group P2/m (No. 10)
Inequivalent atoms, fractional coordinates:
Pa (0.2376, 0.0000, 0.2262)
Pa (0.2531, 0.5000, 0.7712)
Re (0.0000, 0.5000, 0.0000)
P (0.5000, 0.0000, 0.0000)
Se (0.0000, 0.0000, 0.5000)
Se (0.5000, 0.5000, 0.5000)


Entry 5:
CsMgI2F | PBE | relaxed

Calculated values
- mass density (g/cm³) = 4.47
- N(E_F) (states/eV per atom) = 0.000
- E (eV per cell) = -16.5
- calculated volume (Å³ per atom) = 31.9

Unit cell a=6.2757 b=6.2757 c=4.0540 alpha=90.00 beta=90.00 gamma=90.00
Space group P4/mmm (No. 123)
Inequivalent atoms, fractional coordinates:
Cs (0.0000, 0.0000, 0.0000)
Mg (0.5000, 0.5000, 0.5000)
I (0.0000, 0.5000, 0.5000)
F (0.5000, 0.5000, 0.0000)


Entry 6:
Er2RuPbO8 | PBE | relaxed

Calculated values
- mass density (g/cm³) = 7.65
- N(E_F) (states/eV per atom) = 0.364
- E (eV per cell) = -170.0
- calculated volume (Å³ per atom) = 13.9

Unit cell a=6.9576 b=7.1045 c=6.7721 alpha=90.00 beta=90.00 gamma=90.00
Space group Cmmm (No. 65)
Inequivalent atoms, fractional coordinates:
Er (0.0000, 0.0000, 0.2491)
Ru (0.0000, 0.5000, 0.0000)
Pb (0.0000, 0.5000, 0.5000)
O (0.0000, 0.3157, 0.2163)
O (0.1910, 0.0000, 0.5000)
O (0.2301, 0.0000, 0.0000)


Entry 7:
Rb3TlCl4 | PBE | relaxed

Calculated values
- mass density (g/cm³) = 3.41
- offset from the most stable computed form (meV per atom) = 0
- N(E_F) (states/eV per atom) = 0.000
- E (eV per cell) = -52.8
- calculated volume (Å³ per atom) = 36.6

Unit cell a=6.6394 b=6.6394 c=13.2970 alpha=90.00 beta=90.00 gamma=90.00
Space group I4/mmm (No. 139)
Inequivalent atoms, fractional coordinates:
Rb (0.0000, 0.0000, 0.0000)
Rb (0.0000, 0.5000, 0.2500)
Tl (0.0000, 0.0000, 0.5000)
Cl (0.0000, 0.0000, 0.2538)
Cl (0.0000, 0.5000, 0.0000)


Entry 8:
PmPr2NdSm5 | PBE | relaxed

Calculated values
- energy of formation (kJ/mol of formula units) = 215
- mass density (g/cm³) = 7.04
- N(E_F) (states/eV per atom) = 1.399
- E (eV per cell) = -161.8
- calculated volume (Å³ per atom) = 34.7

Unit cell a=8.8058 b=8.8058 c=16.0980 alpha=90.00 beta=90.00 gamma=90.00
Space group I4/mcm (No. 140)
Inequivalent atoms, fractional coordinates:
Pm (0.0000, 0.0000, 0.2500)
Pr (0.1197, 0.3803, 0.0000)
Nd (0.0000, 0.5000, 0.2500)
Sm (0.0000, 0.0000, 0.0000)
Sm (0.2080, 0.2920, 0.3607)